Record 1
Entry from Alexandria via LeMat-Bulk: a geometry-optimized TmThHgGe structure (PBE-GGA).

```
data_TmThHgGe
_cell_length_a 7.384
_cell_length_b 7.384
_cell_length_c 7.384
_cell_angle_alpha 90.00
_cell_angle_beta 90.00
_cell_angle_gamma 90.00
_symmetry_space_group_name_H-M 'F -4 3 m'
_symmetry_Int_Tables_number 216
_symmetry_space_group_name_Hall 'F -4 2 3'
loop_
_atom_site_label
_atom_site_type_symbol
_atom_site_fract_x
_atom_site_fract_y
_atom_site_fract_z
_atom_site_occupancy
Tm1 Tm 0.000 0.000 0.000 1
Th1 Th 0.000 0.000 0.500 1
Hg1 Hg 0.250 0.250 0.250 1
Ge1 Ge 0.250 0.250 0.750 1
```

Density   11.121 g/cm3
ΔE_f   -0.42 eV/atom
Spin magnetization   0.0 μB per formula unit

=====

Record 2
Entry from Alexandria via LeMat-Bulk: a geometry-optimized Ti2HgGe2 structure (PBE-GGA).

```
data_Ti2HgGe2
_cell_length_a 7.727
_cell_length_b 7.727
_cell_length_c 3.038
_cell_angle_alpha 90.00
_cell_angle_beta 90.00
_cell_angle_gamma 90.00
_symmetry_space_group_name_H-M 'P 4/m b m'
_symmetry_Int_Tables_number 127
_symmetry_space_group_name_Hall '-P 4 2ab'
loop_
_atom_site_label
_atom_site_type_symbol
_atom_site_fract_x
_atom_site_fract_y
_atom_site_fract_z
_atom_site_occupancy
Ti1 Ti 0.132 0.368 0.000 1
Hg1 Hg 0.000 0.000 0.000 1
Ge1 Ge 0.164 0.664 0.500 1
```

Density   8.086 g/cm3
ΔE_f   -0.21 eV/atom
Spin magnetization   0.5 μB per formula unit

=====

Record 3
Entry from Alexandria via LeMat-Bulk: a geometry-optimized TiHg2Ge structure (PBE-GGA).

```
data_TiHg2Ge
_cell_length_a 7.775
_cell_length_b 7.775
_cell_length_c 5.598
_cell_angle_alpha 90.00
_cell_angle_beta 90.00
_cell_angle_gamma 90.00
_symmetry_space_group_name_H-M 'I -4 2 d'
_symmetry_Int_Tables_number 122
_symmetry_space_group_name_Hall 'I -4 2bw'
loop_
_atom_site_label
_atom_site_type_symbol
_atom_site_fract_x
_atom_site_fract_y
_atom_site_fract_z
_atom_site_occupancy
Ti1 Ti 0.000 0.000 0.000 1
Hg1 Hg 0.241 0.250 0.625 1
Ge1 Ge 0.000 0.000 0.500 1
```

Density   10.241 g/cm3
ΔE_f   0.21 eV/atom
Spin magnetization   0.0 μB per formula unit

=====

Record 4
Entry from Alexandria via LeMat-Bulk: a geometry-optimized TiHgGe3 structure (PBE-GGA).

```
data_TiHgGe3
_cell_length_a 4.975
_cell_length_b 4.975
_cell_length_c 4.975
_cell_angle_alpha 90.00
_cell_angle_beta 90.00
_cell_angle_gamma 90.00
_symmetry_space_group_name_H-M 'P m -3 m'
_symmetry_Int_Tables_number 221
_symmetry_space_group_name_Hall '-P 4 2 3'
loop_
_atom_site_label
_atom_site_type_symbol
_atom_site_fract_x
_atom_site_fract_y
_atom_site_fract_z
_atom_site_occupancy
Ti1 Ti 0.000 0.000 0.000 1
Hg1 Hg 0.500 0.500 0.500 1
Ge1 Ge 0.000 0.000 0.500 1
```

Density   6.290 g/cm3
ΔE_f   0.28 eV/atom
Spin magnetization   0.0 μB per formula unit

=====

Record 5
Entry from Alexandria via LeMat-Bulk: a geometry-optimized Ti2HgGe structure (PBE-GGA).

```
data_Ti2HgGe
_cell_length_a 7.269
_cell_length_b 7.269
_cell_length_c 5.733
_cell_angle_alpha 90.00
_cell_angle_beta 90.00
_cell_angle_gamma 90.00
_symmetry_space_group_name_H-M 'I -4 2 d'
_symmetry_Int_Tables_number 122
_symmetry_space_group_name_Hall 'I -4 2bw'
loop_
_atom_site_label
_atom_site_type_symbol
_atom_site_fract_x
_atom_site_fract_y
_atom_site_fract_z
_atom_site_occupancy
Ti1 Ti 0.233 0.250 0.125 1
Hg1 Hg 0.000 0.000 0.500 1
Ge1 Ge 0.000 0.000 0.000 1
```

Density   8.089 g/cm3
ΔE_f   0.03 eV/atom
Spin magnetization   0.0 μB per formula unit

=====

Record 6
Entry from Alexandria via LeMat-Bulk: a geometry-optimized TiHgGe2 structure (PBE-GGA).

```
data_TiHgGe2
_cell_length_a 7.375
_cell_length_b 7.375
_cell_length_c 5.883
_cell_angle_alpha 90.00
_cell_angle_beta 90.00
_cell_angle_gamma 90.00
_symmetry_space_group_name_H-M 'I -4 2 d'
_symmetry_Int_Tables_number 122
_symmetry_space_group_name_Hall 'I -4 2bw'
loop_
_atom_site_label
_atom_site_type_symbol
_atom_site_fract_x
_atom_site_fract_y
_atom_site_fract_z
_atom_site_occupancy
Ti1 Ti 0.000 0.000 0.000 1
Hg1 Hg 0.000 0.000 0.500 1
Ge1 Ge 0.242 0.250 0.125 1
```

Density   8.173 g/cm3
ΔE_f   0.27 eV/atom
Spin magnetization   0.0 μB per formula unit

=====

Record 7
Entry from Alexandria via LeMat-Bulk: a geometry-optimized Ti2HgGe2 structure (PBE-GGA).

```
data_Ti2HgGe2
_cell_length_a 7.137
_cell_length_b 7.137
_cell_length_c 3.445
_cell_angle_alpha 90.00
_cell_angle_beta 90.00
_cell_angle_gamma 90.00
_symmetry_space_group_name_H-M 'P 4/m b m'
_symmetry_Int_Tables_number 127
_symmetry_space_group_name_Hall '-P 4 2ab'
loop_
_atom_site_label
_atom_site_type_symbol
_atom_site_fract_x
_atom_site_fract_y
_atom_site_fract_z
_atom_site_occupancy
Ti1 Ti 0.158 0.342 0.000 1
Hg1 Hg 0.000 0.000 0.500 1
Ge1 Ge 0.136 0.636 0.500 1
```

Density   8.357 g/cm3
ΔE_f   -0.20 eV/atom
Spin magnetization   0.0 μB per formula unit

=====

Record 8
Entry from Alexandria via LeMat-Bulk: a geometry-optimized Ti3HgGe structure (PBE-GGA).

```
data_Ti3HgGe
_cell_length_a 4.717
_cell_length_b 4.717
_cell_length_c 4.717
_cell_angle_alpha 90.00
_cell_angle_beta 90.00
_cell_angle_gamma 90.00
_symmetry_space_group_name_H-M 'P m -3 m'
_symmetry_Int_Tables_number 221
_symmetry_space_group_name_Hall '-P 4 2 3'
loop_
_atom_site_label
_atom_site_type_symbol
_atom_site_fract_x
_atom_site_fract_y
_atom_site_fract_z
_atom_site_occupancy
Ti1 Ti 0.000 0.000 0.500 1
Hg1 Hg 0.500 0.500 0.500 1
Ge1 Ge 0.000 0.000 0.000 1
```

Density   6.593 g/cm3
ΔE_f   0.29 eV/atom
Spin magnetization   0.0 μB per formula unit

=====

Record 9
Entry from Alexandria via LeMat-Bulk: a geometry-optimized Ti2HgGe2 structure (PBE-GGA).

```
data_Ti2HgGe2
_cell_length_a 3.683
_cell_length_b 3.683
_cell_length_c 13.658
_cell_angle_alpha 90.00
_cell_angle_beta 90.00
_cell_angle_gamma 90.00
_symmetry_space_group_name_H-M 'I 4/m m m'
_symmetry_Int_Tables_number 139
_symmetry_space_group_name_Hall '-I 4 2'
loop_
_atom_site_label
_atom_site_type_symbol
_atom_site_fract_x
_atom_site_fract_y
_atom_site_fract_z
_atom_site_occupancy
Ti1 Ti 0.000 0.000 0.104 1
Hg1 Hg 0.000 0.000 0.500 1
Ge1 Ge 0.000 0.500 0.250 1
```

Density   7.915 g/cm3
ΔE_f   -0.09 eV/atom
Spin magnetization   0.6 μB per formula unit

=====

Record 10
Entry from Alexandria via LeMat-Bulk: a geometry-optimized Tl2HgGe2 structure (PBE-GGA).

```
data_Tl2HgGe2
_cell_length_a 9.069
_cell_length_b 9.069
_cell_length_c 3.308
_cell_angle_alpha 90.00
_cell_angle_beta 90.00
_cell_angle_gamma 90.00
_symmetry_space_group_name_H-M 'P 4/m b m'
_symmetry_Int_Tables_number 127
_symmetry_space_group_name_Hall '-P 4 2ab'
loop_
_atom_site_label
_atom_site_type_symbol
_atom_site_fract_x
_atom_site_fract_y
_atom_site_fract_z
_atom_site_occupancy
Tl1 Tl 0.189 0.311 0.000 1
Hg1 Hg 0.000 0.000 0.000 1
Ge1 Ge 0.103 0.603 0.500 1
```

Density   9.212 g/cm3
ΔE_f   0.27 eV/atom
Spin magnetization   0.0 μB per formula unit

=====

Record 11
Entry from Alexandria via LeMat-Bulk: a geometry-optimized TlHgGe structure (PBE-GGA).

```
data_TlHgGe
_cell_length_a 5.2396
_cell_length_b 5.2396
_cell_length_c 3.2096
_cell_angle_alpha 90.00
_cell_angle_beta 90.00
_cell_angle_gamma 120.00
_symmetry_space_group_name_H-M 'P -6 m 2'
_symmetry_Int_Tables_number 187
_symmetry_space_group_name_Hall 'P -6 2'
loop_
_atom_site_label
_atom_site_type_symbol
_atom_site_fract_x
_atom_site_fract_y
_atom_site_fract_z
_atom_site_occupancy
Tl1 Tl 0.0000 0.0000 0.0000 1
Hg1 Hg 0.6667 0.3333 0.5000 1
Ge1 Ge 0.3333 0.6667 0.5000 1
```

Density   10.393 g/cm3
ΔE_f   0.19 eV/atom
Spin magnetization   0.0 μB per formula unit

=====

Record 12
Entry from Alexandria via LeMat-Bulk: a geometry-optimized TlHgGe structure (PBE-GGA).

```
data_TlHgGe
_cell_length_a 3.967
_cell_length_b 4.698
_cell_length_c 8.662
_cell_angle_alpha 96.86
_cell_angle_beta 90.20
_cell_angle_gamma 90.00
_symmetry_space_group_name_H-M 'P 1'
_symmetry_Int_Tables_number 1
loop_
_symmetry_equiv_pos_as_xyz
'x,y,z'
loop_
_atom_site_label
_atom_site_type_symbol
_atom_site_fract_x
_atom_site_fract_y
_atom_site_fract_z
_atom_site_occupancy
Tl1 Tl 0.000 0.000 0.000 1
Tl2 Tl 0.499 0.420 0.745 1
Hg1 Hg 0.500 0.086 0.360 1
Hg2 Hg 0.999 0.885 0.611 1
Ge1 Ge 0.003 0.552 0.307 1
Ge2 Ge 0.502 0.528 0.113 1
```

Density   9.897 g/cm3
ΔE_f   0.12 eV/atom
Spin magnetization   0.0 μB per formula unit

=====

Which value of ΔE_f does entry 10 give? 0.27 eV/atom

=====

The lowest density belongs to which entry? TiHgGe3

=====

Among the records above, which one has the highest spin magnetization? number 9